Record 1
DFT (PBE) results for KTeP2 after structural relaxation.

The formation energy (no corrections) is 0.424 eV/atom.

It has space group P4/mmm (No. 123), with a = 4.589 Å, b = 4.589 Å, c = 4.298 Å, α = 90.00°, β = 90.00° and γ = 90.00°. The inequivalent atoms are K at (0.000, 0.000, 0.000), Te at (0.500, 0.500, 0.000) and P at (0.000, 0.500, 0.500).



Record 2
DFT (PBE) results for KTe3P after structural relaxation.

For the energy above the lowest structure with this stoichiometry, the calculation gives 1.5240 eV per atom. The formation energy (no corrections) is 1.455 eV/atom.

It has space group Pm-3m (No. 221), with a = 5.935 Å, b = 5.935 Å, c = 5.935 Å, α = 90.00°, β = 90.00° and γ = 90.00°. The inequivalent atoms are K at (0.000, 0.000, 0.000), Te at (0.000, 0.000, 0.500) and P at (0.500, 0.500, 0.500).



Record 3
DFT (PBE) results for K2TeP after structural relaxation.

For the energy above the lowest structure with this stoichiometry, the calculation gives 0.1726 eV per atom. The formation energy (no corrections) is -0.248 eV/atom.

It has space group P2/m (No. 10), with a = 3.373 Å, b = 5.047 Å, c = 6.713 Å, α = 90.00°, β = 90.07° and γ = 90.00°. The inequivalent atoms are K at (0.000, 0.000, 0.233), Te at (0.500, 0.500, 0.500) and P at (0.500, 0.500, 0.000).



Record 4
DFT (PBE) results for KTe2P after structural relaxation.

The formation energy (no corrections) is 0.318 eV/atom.

It has space group F-43m (No. 216), with a = 7.648 Å, b = 7.648 Å, c = 7.648 Å, α = 90.00°, β = 90.00° and γ = 90.00°. The inequivalent atoms are K at (0.000, 0.000, 0.000), Te at (0.000, 0.000, 0.500), Te at (0.250, 0.250, 0.750) and P at (0.250, 0.250, 0.250).



Record 5
DFT (PBE) results for KTeP2 after structural relaxation.

The formation energy (no corrections) is -0.096 eV/atom.

It has space group Imm2 (No. 44), with a = 3.311 Å, b = 6.258 Å, c = 10.374 Å, α = 90.00°, β = 90.00° and γ = 90.00°. The inequivalent atoms are K at (0.000, 0.000, 0.000), Te at (0.000, 0.500, 0.174), P at (0.000, 0.000, 0.442) and P at (0.000, 0.500, 0.807).



Record 6
DFT (PBE) results for KTeP2 after structural relaxation.

The formation energy (no corrections) is -0.209 eV/atom.

It has space group Pm (No. 6), with a = 6.073 Å, b = 3.284 Å, c = 6.241 Å, α = 90.00°, β = 110.90° and γ = 90.00°. The inequivalent atoms are K at (0.000, 0.000, 0.000), Te at (0.825, 0.500, 0.438), P at (0.294, 0.500, 0.529) and P at (0.412, 0.000, 0.773).



Record 7
DFT (PBE) results for K3Te3P after structural relaxation.

For the energy above the lowest structure with this stoichiometry, the calculation gives 0.0000 eV per atom. The formation energy (no corrections) is -0.694 eV/atom.

It has space group P2_13 (No. 198), with a = 10.485 Å, b = 10.485 Å, c = 10.485 Å, α = 90.00°, β = 90.00° and γ = 90.00°. The inequivalent atoms are K at (0.066, 0.066, 0.066), K at (0.068, 0.932, 0.432), K at (0.169, 0.331, 0.669), Te at (0.042, 0.256, 0.351) and P at (0.230, 0.730, 0.770).



Record 8
DFT (PBE) results for KTe2P after structural relaxation.

The formation energy (no corrections) is 0.211 eV/atom.

It has space group I-4m2 (No. 119), with a = 4.495 Å, b = 4.495 Å, c = 10.777 Å, α = 90.00°, β = 90.00° and γ = 90.00°. The inequivalent atoms are K at (0.000, 0.000, 0.000), Te at (0.000, 0.000, 0.500), Te at (0.000, 0.500, 0.250) and P at (0.000, 0.500, 0.750).



Record 9
DFT (PBE) results for KTe2P after structural relaxation.

The formation energy (no corrections) is -0.149 eV/atom.

It has space group Immm (No. 71), with a = 3.735 Å, b = 6.186 Å, c = 10.599 Å, α = 90.00°, β = 90.00° and γ = 90.00°. The inequivalent atoms are K at (0.000, 0.000, 0.000), Te at (0.000, 0.500, 0.182) and P at (0.000, 0.000, 0.500).



Record 10
DFT (PBE) results for K2TeP after structural relaxation.

For the energy above the lowest structure with this stoichiometry, the calculation gives 0.1657 eV per atom. The formation energy (no corrections) is -0.255 eV/atom.

It has space group P4/mmm (No. 123), with a = 4.721 Å, b = 4.721 Å, c = 5.088 Å, α = 90.00°, β = 90.00° and γ = 90.00°. The inequivalent atoms are K at (0.000, 0.500, 0.000), Te at (0.000, 0.000, 0.500) and P at (0.500, 0.500, 0.500).



Record 11
DFT (PBE) results for KTe3P3 after structural relaxation.

The formation energy (no corrections) is 0.196 eV/atom.

It has space group P6_3/m (No. 176), with a = 9.8947 Å, b = 9.8947 Å, c = 4.7959 Å, α = 90.00°, β = 90.00° and γ = 120.00°. The inequivalent atoms are K at (0.3333, 0.6667, 0.2500), Te at (0.0622, 0.7024, 0.7500) and P at (0.0111, 0.8007, 0.2500).



Record 12
DFT (PBE) results for KTeP2 after structural relaxation.

The formation energy (no corrections) is -0.010 eV/atom.

It has space group Pmmm (No. 47), with a = 3.673 Å, b = 5.307 Å, c = 6.039 Å, α = 90.00°, β = 90.00° and γ = 90.00°. The inequivalent atoms are K at (0.000, 0.000, 0.000), Te at (0.500, 0.000, 0.500) and P at (0.500, 0.500, 0.329).



Magnetic moment in μB/f.u., matching the order above: 0.00, 0.00, 0.00, 0.00, 0.00, 0.00, 0.00, 0.00, 0.00, 0.00, 0.00, 0.00